Record 1
This record from Alexandria via LeMat-Bulk describes ScW2Br after structural relaxation. The functional is PBE-GGA.

Values from the calculation:
ΔE to the lowest computed polymorph (eV per atom): 0.463
Crystal system: monoclinic

Cell lengths 4.397, 3.168, 5.283 Å; angles 90.00, 98.69, 90.00 degrees
Fractional positions:
Sc (0.000, 0.000, 0.000)
W (0.000, 0.500, 0.500)
W (0.500, 0.000, 0.500)
Br (0.500, 0.500, 0.000)

=====

Record 2
This record from Alexandria via LeMat-Bulk describes ScW2Br after structural relaxation. The functional is PBE-GGA.

Values from the calculation:
ΔE to the lowest computed polymorph (eV per atom): 0.841
Crystal system: tetragonal

Cell lengths 2.880, 2.880, 8.960 Å; angles 90.00, 90.00, 90.00 degrees
Fractional positions:
Sc (0.000, 0.000, 0.000)
W (0.500, 0.500, 0.255)
W (0.500, 0.500, 0.745)
Br (0.000, 0.000, 0.500)

=====

Record 3
This record from Alexandria via LeMat-Bulk describes ScW2Br after structural relaxation. The functional is PBE-GGA.

Values from the calculation:
ΔE to the lowest computed polymorph (eV per atom): 0.681
Crystal system: trigonal

Cell lengths 3.008, 3.008, 28.047 Å; angles 90.00, 90.00, 120.00 degrees
Fractional positions:
Sc (0.000, 0.000, 0.000)
Sc (0.333, 0.667, 0.667)
Sc (0.667, 0.333, 0.333)
W (0.000, 0.000, 0.247)
W (0.000, 0.000, 0.753)
W (0.333, 0.667, 0.420)
W (0.333, 0.667, 0.913)
W (0.667, 0.333, 0.087)
W (0.667, 0.333, 0.580)
Br (0.000, 0.000, 0.500)
Br (0.333, 0.667, 0.167)
Br (0.667, 0.333, 0.833)

=====

Record 4
This record from Alexandria via LeMat-Bulk describes ScW2Br after structural relaxation. The functional is PBE-GGA.

Values from the calculation:
ΔE to the lowest computed polymorph (eV per atom): 0.094
Crystal system: trigonal

Cell lengths 3.232, 3.232, 27.121 Å; angles 90.00, 90.00, 120.00 degrees
Fractional positions:
Sc (0.000, 0.000, 0.000)
Sc (0.333, 0.667, 0.667)
Sc (0.667, 0.333, 0.333)
W (0.000, 0.000, 0.249)
W (0.000, 0.000, 0.518)
W (0.333, 0.667, 0.184)
W (0.333, 0.667, 0.915)
W (0.667, 0.333, 0.582)
W (0.667, 0.333, 0.851)
Br (0.000, 0.000, 0.739)
Br (0.333, 0.667, 0.406)
Br (0.667, 0.333, 0.073)

=====

Record 5
This record from Alexandria via LeMat-Bulk describes ScW4Br after structural relaxation. The functional is PBE-GGA.

Values from the calculation:
Crystal system: cubic

Cell lengths 5.411, 5.411, 5.411 Å; angles 60.00, 60.00, 60.00 degrees
Fractional positions:
Sc (0.000, 0.000, 0.000)
W (0.125, 0.625, 0.625)
W (0.625, 0.125, 0.625)
W (0.625, 0.625, 0.125)
W (0.625, 0.625, 0.625)
Br (0.250, 0.250, 0.250)

=====

Record 6
This record from Alexandria via LeMat-Bulk describes YScBr2 after structural relaxation. The functional is PBE-GGA.

Values from the calculation:
ΔE to the lowest computed polymorph (eV per atom): 0.000
Crystal system: trigonal

Cell lengths 3.735, 3.735, 30.513 Å; angles 90.00, 90.00, 120.00 degrees
Fractional positions:
Y (0.000, 0.000, 0.000)
Y (0.333, 0.667, 0.667)
Y (0.667, 0.333, 0.333)
Sc (0.000, 0.000, 0.247)
Sc (0.333, 0.667, 0.913)
Sc (0.667, 0.333, 0.580)
Br (0.000, 0.000, 0.523)
Br (0.000, 0.000, 0.730)
Br (0.333, 0.667, 0.190)
Br (0.333, 0.667, 0.397)
Br (0.667, 0.333, 0.064)
Br (0.667, 0.333, 0.856)

=====

Uncorrected energy? In order: -0.5837 -0.5559 -0.5677 -0.6109 -0.6766 -0.3823 Ry per atom.
Calculated volume? In order: 18.186 18.574 18.311 20.444 18.676 30.716 Å³ per atom.
Energy relative to the elements, uncorrected? In order: 0.535 0.914 0.753 0.167 0.764 -1.166 eV/atom.